[1]
First-principles (PBE-GGA) data for a relaxed structure of LaMgVP2, as listed in Alexandria via LeMat-Bulk.

```
LaMgVP2
1.0
4.6839 0.0000 0.0000
0.0000 4.6839 0.0000
0.0000 0.0000 5.0379
La Mg V P
1 1 1 2
Cartesian
0.0000 0.0000 0.0000
2.3419 2.3419 0.0000
0.0000 0.0000 2.5189
0.0000 2.3419 2.5189
2.3419 0.0000 2.5189
```

The energy relative to the elements is 0.0 eV per formula unit. The total energy comes out at -26.47 eV/cell.

=====

[2]
First-principles (PBE-GGA) data for a relaxed structure of La11Y9Th4, as listed in Alexandria via LeMat-Bulk.

```
La11Y9Th4
1.0
8.6738 -13.0516 0.0000
8.6738 13.0516 0.0000
0.0000 0.0000 3.7336
La Y Th
11 9 4
Cartesian
0.0000 0.0000 0.0000
3.9935 4.7251 0.0000
8.6738 8.9431 0.0000
5.1378 0.0000 0.0000
8.6738 3.4143 0.0000
3.9935 -4.7251 0.0000
13.3541 4.7251 0.0000
8.6738 -3.4143 0.0000
12.2097 0.0000 0.0000
8.6738 -8.9431 0.0000
13.3541 -4.7251 0.0000
2.4356 1.8982 1.8668
6.9246 6.1440 1.8668
2.4356 -1.8982 1.8668
10.4229 6.1440 1.8668
8.6738 0.0000 1.8668
6.9246 -6.1440 1.8668
14.9120 1.8982 1.8668
10.4229 -6.1440 1.8668
14.9120 -1.8982 1.8668
5.9639 2.6592 1.8668
5.9639 -2.6592 1.8668
11.3836 2.6592 1.8668
11.3836 -2.6592 1.8668
```

The energy relative to the elements is 2.3 eV per formula unit. The total energy comes out at -139.77 eV/cell.